Record 1
Here is Cr4FeIr at its PBEsol-relaxed geometry from Alexandria via LeMat-Bulk. Energies are from SCAN.

Lattice parameters (Å, degrees): 4.6110 4.6110 4.6110 60.00 60.00 60.00
Element x y z (fractional)
Cr 0.3767 0.3767 0.3767
Cr 0.3767 0.3767 0.8699
Cr 0.3767 0.8699 0.3767
Cr 0.8699 0.3767 0.3767
Fe 0.7500 0.7500 0.7500
Ir 0.0000 0.0000 0.0000

Output
**Total magnetic moment**: 0.9 μB per cell
**D(E_F)**: 4.38 states/eV/cell
**Formation enthalpy at 0 K**: 0.038 eV/atom

***

Record 2
Here is ScCo4Au at its PBEsol-relaxed geometry from Alexandria via LeMat-Bulk. Energies are from SCAN.

Lattice parameters (Å, degrees): 4.7669 4.7669 4.7669 60.00 60.00 60.00
Element x y z (fractional)
Sc 0.0000 0.0000 0.0000
Co 0.1266 0.6245 0.6245
Co 0.6245 0.1266 0.6245
Co 0.6245 0.6245 0.1266
Co 0.6245 0.6245 0.6245
Au 0.2500 0.2500 0.2500

Output
**Total magnetic moment**: 6.2 μB per cell
**D(E_F)**: 5.43 states/eV/cell
**Formation enthalpy at 0 K**: -0.205 eV/atom

***

Record 3
Here is RuPb2Cl at its PBEsol-relaxed geometry from Alexandria via LeMat-Bulk. Energies are from SCAN.

Lattice parameters (Å, degrees): 5.1442 5.1442 3.1329 90.00 90.00 90.00
Element x y z (fractional)
Ru 0.0000 0.0000 0.0000
Pb 0.0000 0.5000 0.5000
Pb 0.5000 0.0000 0.5000
Cl 0.5000 0.5000 0.0000

Output
**Total magnetic moment**: 0.0 μB per cell
**Formation energy (no corrections)**: 0.175 eV per atom
**D(E_F)**: 2.89 states/eV/cell

***

Record 4
Here is LiYIr2 at its PBEsol-relaxed geometry from Alexandria via LeMat-Bulk. Energies are from SCAN.

Lattice parameters (Å, degrees): 5.4302 5.4302 5.4302 146.68 130.43 61.04
Element x y z (fractional)
Li 0.0000 0.0000 0.0000
Y 0.7227 0.2227 0.5000
Ir 0.2360 0.7360 0.5000
Ir 0.4608 0.4608 0.0000

Output
**Total magnetic moment**: 0.0 μB per cell
**D(E_F)**: 2.33 states/eV/cell
**Formation enthalpy at 0 K**: -0.296 eV/atom

***

Across the entries above, total DFT energy (no corrections) takes the values -0.99554; -0.94227; -1.77928; -1.59507 Ha/atom, respectively.